(1)
Cs3SnSb | PBE | optimized geometry

Structure (extended XYZ):
```
5
Lattice="7.323 0.000 0.000 0.000 7.323 0.000 0.000 0.000 7.323" Properties=species:S:1:pos:R:3 pbc="T T T"
Cs 3.661 0.000 0.000
Cs 0.000 3.661 0.000
Cs 0.000 0.000 3.661
Sn 3.661 3.661 3.661
Sb 0.000 0.000 0.000
```

Computed properties:
As for the polymorph energy (0 for the lowest one): 0.462 eV per atom. Its uncorrected formation energy is 12.7 kJ/mol of atoms. The space group is No. 221. Its spin magnetization is 3.99 μB/f.u. For the total energy, the calculation gives -2.006 eV per atom. As for the crystal system: cubic.


(2)
Cs4SnSb4 | PBE | optimized geometry

Structure (extended XYZ):
```
9
Lattice="-1.986 -2.157 7.130 -0.842 -7.583 -6.696 6.034 -4.793 0.231" Properties=species:S:1:pos:R:3 pbc="T T T"
Sn 0.000 0.000 0.000
Sb -0.758 -2.701 0.151
Sb 2.146 -7.685 5.430
Sb 5.388 -10.285 -4.600
Sb -0.363 -8.395 0.348
Cs -0.844 -4.740 4.063
Cs 1.785 -7.994 -3.485
Cs 3.305 -10.602 -0.722
Cs 2.166 -5.729 1.473
```

Computed properties:
Its uncorrected formation energy is -21.8 kJ/mol of atoms. The space group is No. 121. Its spin magnetization is 0.00 μB/f.u. For the total energy, the calculation gives -2.883 eV per atom. As for the crystal system: tetragonal.


(3)
CsSnSb | PBE | optimized geometry

Structure (extended XYZ):
```
3
Lattice="-5.764 -3.457 -2.159 0.040 -2.468 3.848 -2.305 3.944 -0.162" Properties=species:S:1:pos:R:3 pbc="T T T"
Sb -3.069 0.880 0.596
Cs -4.541 -2.609 1.089
Sn -0.420 -0.252 -0.157
```

Computed properties:
Its uncorrected formation energy is -33.1 kJ/mol of atoms. The space group is No. 156. Its spin magnetization is 0.00 μB/f.u. For the total energy, the calculation gives -3.336 eV per atom. As for the crystal system: trigonal.


(4)
Cs2Sn2Sb | PBE | optimized geometry

Structure (extended XYZ):
```
10
Lattice="-6.364 9.030 2.782 -7.832 -6.918 4.537 1.580 0.186 3.011" Properties=species:S:1:pos:R:3 pbc="T T T"
Sb 0.000 0.000 0.000
Sb -7.098 1.056 3.660
Sn -9.786 -2.586 5.295
Sn -10.407 4.192 5.202
Sn -4.410 4.698 2.024
Sn -3.789 -2.080 2.117
Cs -6.098 -2.924 5.306
Cs -2.699 1.270 3.264
Cs -9.917 1.028 7.066
Cs -6.519 5.222 5.024
```

Computed properties:
As for the polymorph energy (0 for the lowest one): 0.288 eV per atom. Its uncorrected formation energy is 12.6 kJ/mol of atoms. The space group is No. 127. Its spin magnetization is 0.00 μB/f.u. For the total energy, the calculation gives -2.636 eV per atom. As for the crystal system: tetragonal.


(5)
Cs2Sn3Sb2 | PBE | optimized geometry

Structure (extended XYZ):
```
7
Lattice="-4.234 -0.739 -0.679 3.439 0.031 -7.541 0.566 -7.673 4.829" Properties=species:S:1:pos:R:3 pbc="T T T"
Cs -0.977 -2.465 -5.169
Cs 0.748 -5.917 1.778
Sn -1.587 -3.409 -0.330
Sn -2.117 -0.370 -0.339
Sn 1.359 -4.973 -3.060
Sb -0.822 -6.464 -1.774
Sb 0.594 -1.918 -1.616
```

Computed properties:
Its uncorrected formation energy is -22.5 kJ/mol of atoms. The space group is No. 12. Its spin magnetization is 0.00 μB/f.u. For the total energy, the calculation gives -3.371 eV per atom. As for the crystal system: monoclinic.


(6)
Cs2Sn5Sb4 | PBE | optimized geometry

Structure (extended XYZ):
```
11
Lattice="-2.774 5.796 -4.013 -7.448 1.836 0.649 0.444 8.112 4.257" Properties=species:S:1:pos:R:3 pbc="T T T"
Sb -6.415 6.482 -0.506
Sb -3.363 9.261 1.398
Sb -6.962 11.772 0.361
Sb -2.816 3.972 0.532
Cs -0.079 6.622 2.467
Cs -2.251 7.286 -2.224
Sn -3.724 0.918 0.324
Sn -4.195 6.423 1.450
Sn -5.582 9.321 -0.557
Sn -5.111 3.816 -1.682
Sn -1.387 2.898 -2.007
```

Computed properties:
Its uncorrected formation energy is -7.7 kJ/mol of atoms. The space group is No. 69. Its spin magnetization is 0.00 μB/f.u. For the total energy, the calculation gives -3.553 eV per atom. As for the crystal system: orthorhombic.